Below is a crystal of SrTaTc relaxed with PBEsol, with properties calculated at the meta-GGA SCAN level.

Its crystal system is tetragonal. As for the formation energy: 0.36 eV/atom. As for the volume: 22.5 A^3/atom.

Lattice parameters (Å, degrees): 3.2990 3.2990 6.6145 104.44 104.44 90.00
With the nearest neighbours (Å) after each atom.
Element x y z (fractional)
Sr  0.9891  0.9891  0.9782  4 Sr 3.30, 4 Tc 3.30, 5 Ta 3.45-3.60
Tc  0.3004  0.3004  0.6008  4 Ta 2.58
Ta  0.7105  0.7105  0.4210  4 Tc 2.58